# MgZnTe4 | the Alexandria database | PBE-GGA | relaxed
data_MgZnTe4
_chemical_formula_sum 'Mg4 Zn4 Te16'
_symmetry_space_group_name_H-M 'F -4 3 m'
_symmetry_Int_Tables_number 216
_symmetry_space_group_name_Hall 'F -4 2 3'
_cell_length_a 9.053
_cell_length_b 9.053
_cell_length_c 9.053
_cell_angle_alpha 90.00
_cell_angle_beta 90.00
_cell_angle_gamma 90.00
loop_
_atom_site_label
_atom_site_type_symbol
_atom_site_fract_x
_atom_site_fract_y
_atom_site_fract_z
Mg1 Mg 0.000 0.000 0.000
Zn1 Zn 0.250 0.250 0.250
Te1 Te 0.125 0.125 0.625
# Density of states at the Fermi level = 0.486 states/eV per atom
# V = 742.0 Å³ per cell
# Formation energy (no corrections) = 0.3276 eV per atom